Record 1
## Ca2Co2Sn (PBE)

Data for a relaxed Ca2Co2Sn crystal.

## Properties
electronic total energy: -4.26 eV per atom
size of the total moment: 0.523 μB/atom
formation energy from the elements: 0.187 eV/atom

CIF file:
```
data_Ca2Co2Sn
_space_group_name_H-M_alt 'I 4/m m m'
_space_group_IT_number 139
_space_group_name_Hall '-I 4 2'
_cell_length_a 5.584
_cell_length_b 5.584
_cell_length_c 7.420
_cell_angle_alpha 90.00
_cell_angle_beta 90.00
_cell_angle_gamma 90.00
loop_
_atom_site_label
_atom_site_type_symbol
_atom_site_fract_x
_atom_site_fract_y
_atom_site_fract_z
Ca1 Ca 0.000 0.500 0.250
Co1 Co 0.000 0.000 0.150
Sn1 Sn 0.000 0.000 0.500
```

---

Record 2
## CaCo4Sn12 (PBE)

Data for a relaxed CaCo4Sn12 crystal.

## Properties
electronic total energy: -4.68 eV per atom
size of the total moment: 0.048 μB/atom
formation energy from the elements: -0.069 eV/atom

CIF file:
```
data_CaCo4Sn12
_space_group_name_H-M_alt 'I m -3'
_space_group_IT_number 204
_space_group_name_Hall '-I 2 2 3'
_cell_length_a 9.245
_cell_length_b 9.245
_cell_length_c 9.245
_cell_angle_alpha 90.00
_cell_angle_beta 90.00
_cell_angle_gamma 90.00
loop_
_atom_site_label
_atom_site_type_symbol
_atom_site_fract_x
_atom_site_fract_y
_atom_site_fract_z
Ca1 Ca 0.000 0.000 0.000
Co1 Co 0.250 0.250 0.250
Sn1 Sn 0.000 0.171 0.330
```